# Pd2SeBr

Crystalline Pd2SeBr at its relaxed geometry (PBE, the Alexandria database).

Structure (POSCAR):
```
Pd2SeBr
1.0
6.995 -1.804 0.000
6.995 1.804 0.000
-2.315 0.000 6.717
Pd Se Br
4 2 2
Direct
0.163 0.163 0.446 Pd
0.336 0.336 0.222 Pd
0.664 0.664 0.778 Pd
0.837 0.837 0.554 Pd
0.290 0.290 0.789 Se
0.710 0.710 0.211 Se
0.028 0.028 0.777 Br
0.972 0.972 0.223 Br
```

Properties
Symmetry: No. 12
ΔE_f (raw), eV per atom: -0.23
Polymorph energy (0 for the lowest one), meV/atom: 0